[1]
Here is a geometry-optimized CoHg2Au structure from Alexandria. Energies are from PBE-GGA.

Cell and atoms, written as POSCAR:
```
CoHg2Au
1.0
4.9530 0.0004 0.0000
1.1971 4.8062 0.0000
-3.0751 -2.4033 3.0497
Au Co Hg
1 1 2
direct
0.2500 0.7500 0.5000 Au
0.7500 0.2500 0.5000 Co
0.0000 0.0000 0.0000 Hg
0.5000 0.5000 0.0000 Hg
```

Calculated values
total magnetization: 1.4 μB/f.u.
formation energy: 0.394 eV/atom
SG: I4/mmm (139)
energy above the most stable polymorph in this dataset: 12.0 kJ/mol of atoms

***

[2]
Here is a geometry-optimized CoHgAu2 structure from Alexandria. Energies are from PBE-GGA.

Cell and atoms, written as POSCAR:
```
CoHgAu2
1.0
5.6296 0.1787 0.2835
4.8051 2.9387 0.2835
1.5161 0.4529 4.5809
Au Co Hg
2 1 1
direct
0.0293 0.0293 0.9734 Au
0.4707 0.4707 0.5266 Au
0.7500 0.7500 0.7500 Co
0.2500 0.2500 0.2500 Hg
```

Calculated values
total magnetization: 1.6 μB/f.u.
formation energy: 0.268 eV/atom
SG: C2/m (12)